*A*
TbLuGa | PBE-GGA | relaxed

Lattice parameters (Å, degrees): 4.922 4.922 4.922 60.00 60.00 60.00
Element x y z (fractional)
Lu1 0.500 0.500 0.500
Tb1 0.000 0.000 0.000
Ga1 0.250 0.250 0.250

ρ = 7.9 g cm⁻³



*B*
TbLuGa | PBE-GGA | relaxed

Lattice parameters (Å, degrees): 3.441 3.441 6.895 104.45 104.45 90.00
Element x y z (fractional)
Lu1 0.312 0.312 0.623
Tb1 0.019 0.019 0.037
Ga1 0.670 0.670 0.339

ρ = 8.8 g cm⁻³



*C*
TbLuGa | PBE-GGA | relaxed

Lattice parameters (Å, degrees): 3.632 4.934 4.934 120.00 90.00 90.00
Element x y z (fractional)
Lu1 0.096 0.000 0.000
Tb1 0.625 0.667 0.333
Ga1 0.279 0.333 0.667

ρ = 8.8 g cm⁻³



Relative energies, unit eV/atom: *A* 0.131; *B* 0.000; *C* 0.106